(1)
{
  "formula": "Tb3YHo8",
  "functional": "GGA-PBE",
  "state": "optimized geometry",
  "density_g_cm3": 6.95,
  "space_group": "I4/mmm",
  "n_ef_per_ev_cell": 13.1,
  "e_tot_ev_per_atom": -4.01,
  "vol_a3_per_atom": 37.556,
  "magnetic_moment_mub_per_atom": 0.000,
  "cell": [[6.671, 0.000, -3.774], [-2.135, 6.320, -3.774], [0.847, 1.180, 9.281]],
  "species": ["Ho", "Ho", "Ho", "Ho", "Ho", "Ho", "Ho", "Ho", "Tb", "Tb", "Tb", "Y"],
  "frac_coords": [[0.126, 0.624, 0.749], [0.126, 0.126, 0.749], [0.624, 0.624, 0.749], [0.874, 0.874, 0.251], [0.376, 0.376, 0.251], [0.874, 0.376, 0.251], [0.376, 0.874, 0.251], [0.624, 0.126, 0.749], [0.250, 0.750, 0.500], [0.750, 0.250, 0.500], [0.500, 0.500, 0.000], [0.000, 0.000, 0.000]]
}

(2)
{
  "formula": "CoIr2Os",
  "functional": "GGA-PBE",
  "state": "optimized geometry",
  "density_g_cm3": 18.47,
  "space_group": "Cmmm",
  "n_ef_per_ev_cell": 6.2,
  "e_tot_ev_per_atom": -8.60,
  "vol_a3_per_atom": 14.243,
  "magnetic_moment_mub_per_atom": 0.704,
  "cell": [[-0.040, 1.410, -2.290], [0.348, -2.666, -0.089], [-8.961, -1.152, -0.553]],
  "species": ["Co", "Ir", "Ir", "Os"],
  "frac_coords": [[0.500, 0.500, 0.750], [0.000, 0.000, 0.991], [0.000, 0.000, 0.509], [0.500, 0.500, 0.250]]
}

(3)
{
  "formula": "La3Tm4Tl2",
  "functional": "GGA-PBE",
  "state": "optimized geometry",
  "density_g_cm3": 8.71,
  "space_group": "C2/c",
  "n_ef_per_ev_cell": 20.3,
  "e_tot_ev_per_atom": -4.21,
  "vol_a3_per_atom": 31.802,
  "magnetic_moment_mub_per_atom": 0.000,
  "cell": [[6.451, 0.384, 0.275], [0.727, 9.435, -1.001], [0.727, 2.093, 9.254]],
  "species": ["Tl", "Tl", "Tl", "Tl", "La", "La", "La", "La", "La", "La", "Tm", "Tm", "Tm", "Tm", "Tm", "Tm", "Tm", "Tm"],
  "frac_coords": [[0.568, 0.198, 0.372], [0.432, 0.802, 0.628], [0.068, 0.372, 0.198], [0.932, 0.628, 0.802], [0.920, 0.039, 0.167], [0.080, 0.961, 0.833], [0.250, 0.468, 0.532], [0.420, 0.167, 0.039], [0.750, 0.532, 0.468], [0.580, 0.833, 0.961], [0.077, 0.687, 0.143], [0.923, 0.313, 0.857], [0.592, 0.485, 0.152], [0.092, 0.152, 0.485], [0.408, 0.515, 0.848], [0.577, 0.143, 0.687], [0.423, 0.857, 0.313], [0.908, 0.848, 0.515]]
}

(4)
{
  "formula": "BaMg2Zr2",
  "functional": "GGA-PBE",
  "state": "optimized geometry",
  "density_g_cm3": 4.42,
  "space_group": "P4/mbm",
  "n_ef_per_ev_cell": 10.8,
  "e_tot_ev_per_atom": -4.19,
  "vol_a3_per_atom": 27.707,
  "magnetic_moment_mub_per_atom": 0.000,
  "cell": [[9.136, 0.000, 0.000], [0.000, 9.136, 0.000], [0.000, 0.000, 3.320]],
  "species": ["Mg", "Mg", "Mg", "Mg", "Ba", "Ba", "Zr", "Zr", "Zr", "Zr"],
  "frac_coords": [[0.679, 0.821, 0.500], [0.821, 0.321, 0.500], [0.179, 0.679, 0.500], [0.321, 0.179, 0.500], [0.500, 0.500, 0.000], [0.000, 0.000, 0.000], [0.392, 0.892, 0.000], [0.608, 0.108, 0.000], [0.108, 0.392, 0.000], [0.892, 0.608, 0.000]]
}